[1]
First-principles (PBE) data for an optimized crystal structure of PrAlO3, as listed in OQMD.

CIF file:
```
data_PrAlO3
_chemical_formula_sum 'Pr1 Al1 O3'
_symmetry_space_group_name_H-M 'P 4 m m'
_symmetry_Int_Tables_number 99
_cell_length_a 3.7521
_cell_length_b 3.7521
_cell_length_c 3.7741
_cell_angle_alpha 90.00
_cell_angle_beta 90.00
_cell_angle_gamma 90.00
loop_
_symmetry_equiv_pos_as_xyz
'x,y,z'
'-y,x,z'
'-x,-y,z'
'y,-x,z'
'-x,y,z'
'y,x,z'
'x,-y,z'
'-y,-x,z'
loop_
_atom_site_label
_atom_site_type_symbol
_atom_site_fract_x
_atom_site_fract_y
_atom_site_fract_z
_atom_site_occupancy
Pr1 Pr 0.0000 0.0000 0.0000 1
Al1 Al 0.5000 0.5000 0.5025 1
O1 O 0.0000 0.5000 0.5034 1
O2 O 0.5000 0.5000 0.0032 1
```

Results
Calculated total energy (eV/atom): -7.898

---

[2]
First-principles (PBE) data for an optimized crystal structure of ZnTcNO, as listed in OQMD.

CIF file:
```
data_ZnTcNO
_chemical_formula_sum 'Zn2 Tc2 N2 O2'
_symmetry_space_group_name_H-M 'P 4/n m m'
_symmetry_Int_Tables_number 129
_cell_length_a 3.4044
_cell_length_b 3.4044
_cell_length_c 7.2007
_cell_angle_alpha 90.00
_cell_angle_beta 90.00
_cell_angle_gamma 90.00
loop_
_symmetry_equiv_pos_as_xyz
'x,y,z'
'-x,-y,-z'
'-y+1/2,x,z'
'y+1/2,-x,-z'
'-x+1/2,-y+1/2,z'
'x+1/2,y+1/2,-z'
'y,-x+1/2,z'
'-y,x+1/2,-z'
'x+1/2,-y,-z'
'-x+1/2,y,z'
'-y,-x,-z'
'y,x,z'
'-x,y+1/2,-z'
'x,-y+1/2,z'
'y+1/2,x+1/2,-z'
'-y+1/2,-x+1/2,z'
loop_
_atom_site_label
_atom_site_type_symbol
_atom_site_fract_x
_atom_site_fract_y
_atom_site_fract_z
_atom_site_occupancy
Zn1 Zn 0.2500 0.7500 0.0000 1
Tc1 Tc 0.2500 0.2500 0.3343 1
N1 N 0.2500 0.2500 0.8036 1
O1 O 0.2500 0.7500 0.5000 1
```

Results
Polymorph energy (0 for the lowest one) (meV per atom): 884.0

---

[3]
First-principles (PBE) data for an optimized crystal structure of GdTmNi2Ge, as listed in OQMD.

CIF file:
```
data_GdTmNi2Ge
_chemical_formula_sum 'Gd2 Tm2 Ni4 Ge2'
_symmetry_space_group_name_H-M 'A m m 2'
_symmetry_Int_Tables_number 38
_cell_length_a 3.5938
_cell_length_b 3.9496
_cell_length_c 13.2265
_cell_angle_alpha 90.00
_cell_angle_beta 90.00
_cell_angle_gamma 90.00
loop_
_symmetry_equiv_pos_as_xyz
'x,y,z'
'-x,-y,z'
'-x,y,z'
'x,-y,z'
'x,y+1/2,z+1/2'
'-x,-y+1/2,z+1/2'
'-x,y+1/2,z+1/2'
'x,-y+1/2,z+1/2'
loop_
_atom_site_label
_atom_site_type_symbol
_atom_site_fract_x
_atom_site_fract_y
_atom_site_fract_z
_atom_site_occupancy
Gd1 Gd 0.0000 0.0000 0.0000 1
Tm1 Tm 0.0000 0.0000 0.7416 1
Ni1 Ni 0.5000 0.0000 0.1790 1
Ni2 Ni 0.5000 0.0000 0.5680 1
Ge1 Ge 0.5000 0.0000 0.3694 1
```

Results
Calculated total energy (eV/atom): -5.578

---

[4]
First-principles (PBE) data for an optimized crystal structure of KNbCdSe3, as listed in OQMD.

CIF file:
```
data_KNbCdSe3
_chemical_formula_sum 'K4 Nb4 Cd4 Se12'
_symmetry_space_group_name_H-M 'C m c m'
_symmetry_Int_Tables_number 63
_symmetry_space_group_name_Hall '-C 2c 2'
_cell_length_a 3.9613
_cell_length_b 15.1647
_cell_length_c 10.5760
_cell_angle_alpha 90.00
_cell_angle_beta 90.00
_cell_angle_gamma 90.00
loop_
_atom_site_label
_atom_site_type_symbol
_atom_site_fract_x
_atom_site_fract_y
_atom_site_fract_z
_atom_site_occupancy
K1 K 0.0000 0.2480 0.2500 1
Nb1 Nb 0.0000 0.0000 0.0000 1
Cd1 Cd 0.0000 0.4576 0.7500 1
Se1 Se 0.0000 0.0731 0.7500 1
Se2 Se 0.0000 0.3761 0.5333 1
```

Results
Polymorph energy (0 for the lowest one) (meV per atom): 137.5

---

[5]
First-principles (PBE) data for an optimized crystal structure of NaGaSiPt, as listed in OQMD.

CIF file:
```
data_NaGaSiPt
_chemical_formula_sum 'Na4 Ga4 Si4 Pt4'
_symmetry_space_group_name_H-M 'F -4 3 m'
_symmetry_Int_Tables_number 216
_symmetry_space_group_name_Hall 'F -4 2 3'
_cell_length_a 6.3287
_cell_length_b 6.3287
_cell_length_c 6.3287
_cell_angle_alpha 90.00
_cell_angle_beta 90.00
_cell_angle_gamma 90.00
loop_
_atom_site_label
_atom_site_type_symbol
_atom_site_fract_x
_atom_site_fract_y
_atom_site_fract_z
_atom_site_occupancy
Na1 Na 0.0000 0.0000 0.0000 1
Ga1 Ga 0.2500 0.2500 0.2500 1
Si1 Si 0.2500 0.2500 0.7500 1
Pt1 Pt 0.0000 0.0000 0.5000 1
```

Results
Polymorph energy (0 for the lowest one) (meV per atom): 0.0

---

[6]
First-principles (PBE) data for an optimized crystal structure of BAuNO, as listed in OQMD.

CIF file:
```
data_BAuNO
_chemical_formula_sum 'B2 Au2 N2 O2'
_symmetry_space_group_name_H-M 'P 4/n m m'
_symmetry_Int_Tables_number 129
_cell_length_a 3.5344
_cell_length_b 3.5344
_cell_length_c 7.2247
_cell_angle_alpha 90.00
_cell_angle_beta 90.00
_cell_angle_gamma 90.00
loop_
_symmetry_equiv_pos_as_xyz
'x,y,z'
'-x,-y,-z'
'-y+1/2,x,z'
'y+1/2,-x,-z'
'-x+1/2,-y+1/2,z'
'x+1/2,y+1/2,-z'
'y,-x+1/2,z'
'-y,x+1/2,-z'
'x+1/2,-y,-z'
'-x+1/2,y,z'
'-y,-x,-z'
'y,x,z'
'-x,y+1/2,-z'
'x,-y+1/2,z'
'y+1/2,x+1/2,-z'
'-y+1/2,-x+1/2,z'
loop_
_atom_site_label
_atom_site_type_symbol
_atom_site_fract_x
_atom_site_fract_y
_atom_site_fract_z
_atom_site_occupancy
B1 B 0.2500 0.2500 0.0877 1
Au1 Au 0.2500 0.7500 0.5000 1
N1 N 0.2500 0.2500 0.2837 1
O1 O 0.2500 0.7500 0.0000 1
```

Results
Polymorph energy (0 for the lowest one) (meV per atom): 1052.8

---

[7]
First-principles (PBE) data for an optimized crystal structure of Tb3Si2S8I, as listed in OQMD.

CIF file:
```
data_Tb3Si2S8I
_chemical_formula_sum 'Tb12 Si8 S32 I4'
_symmetry_space_group_name_H-M 'C 1 2/c 1'
_symmetry_Int_Tables_number 15
_cell_length_a 15.7063
_cell_length_b 7.6671
_cell_length_c 10.6782
_cell_angle_alpha 90.00
_cell_angle_beta 99.08
_cell_angle_gamma 90.00
loop_
_symmetry_equiv_pos_as_xyz
'x,y,z'
'-x,-y,-z'
'-x,y,-z+1/2'
'x,-y,z+1/2'
'x+1/2,y+1/2,z'
'-x+1/2,-y+1/2,-z'
'-x+1/2,y+1/2,-z+1/2'
'x+1/2,-y+1/2,z+1/2'
loop_
_atom_site_label
_atom_site_type_symbol
_atom_site_fract_x
_atom_site_fract_y
_atom_site_fract_z
_atom_site_occupancy
Tb1 Tb 0.0000 0.1118 0.2500 1
Tb2 Tb 0.2016 0.3742 0.6810 1
Si1 Si 0.1582 0.0382 0.0252 1
S1 S 0.0671 0.1630 0.5346 1
S2 S 0.1433 0.2524 0.1457 1
S3 S 0.1474 0.0978 0.8292 1
S4 S 0.2168 0.4318 0.4130 1
I1 I 0.0000 0.4817 0.7500 1
```

Results
Calculated total energy (eV/atom): -5.635

---

[8]
First-principles (PBE) data for an optimized crystal structure of PmUCu, as listed in OQMD.

CIF file:
```
data_PmUCu
_chemical_formula_sum 'Pm4 U4 Cu4'
_symmetry_space_group_name_H-M 'F -4 3 m'
_symmetry_Int_Tables_number 216
_symmetry_space_group_name_Hall 'F -4 2 3'
_cell_length_a 6.6855
_cell_length_b 6.6855
_cell_length_c 6.6855
_cell_angle_alpha 90.00
_cell_angle_beta 90.00
_cell_angle_gamma 90.00
loop_
_atom_site_label
_atom_site_type_symbol
_atom_site_fract_x
_atom_site_fract_y
_atom_site_fract_z
_atom_site_occupancy
Pm1 Pm 0.0000 0.0000 0.0000 1
U1 U 0.0000 0.0000 0.5000 1
Cu1 Cu 0.2500 0.2500 0.2500 1
```

Results
ΔE_f (eV per atom): 0.808
Polymorph energy (0 for the lowest one) (meV per atom): 428.9

---

[9]
First-principles (PBE) data for an optimized crystal structure of OsOF4, as listed in OQMD.

CIF file:
```
data_OsOF4
_chemical_formula_sum 'Os4 O4 F16'
_symmetry_space_group_name_H-M 'P 1 21/c 1'
_symmetry_Int_Tables_number 14
_cell_length_a 4.9813
_cell_length_b 12.0409
_cell_length_c 5.3009
_cell_angle_alpha 90.00
_cell_angle_beta 118.81
_cell_angle_gamma 90.00
loop_
_symmetry_equiv_pos_as_xyz
'x,y,z'
'-x,-y,-z'
'-x,y+1/2,-z+1/2'
'x,-y+1/2,z+1/2'
loop_
_atom_site_label
_atom_site_type_symbol
_atom_site_fract_x
_atom_site_fract_y
_atom_site_fract_z
_atom_site_occupancy
Os1 Os 0.1086 0.1405 0.3280 1
O1 O 0.2649 0.6121 0.3193 1
F1 F 0.0295 0.2059 0.9415 1
F2 F 0.2492 0.0081 0.2433 1
F3 F 0.2487 0.0843 0.7003 1
F4 F 0.4976 0.2038 0.4481 1
```

Results
Polymorph energy (0 for the lowest one) (meV per atom): 5.3

---

[10]
First-principles (PBE) data for an optimized crystal structure of RbSiAg, as listed in OQMD.

CIF file:
```
data_RbSiAg
_chemical_formula_sum 'Rb4 Si4 Ag4'
_symmetry_space_group_name_H-M 'F -4 3 m'
_symmetry_Int_Tables_number 216
_symmetry_space_group_name_Hall 'F -4 2 3'
_cell_length_a 7.6140
_cell_length_b 7.6140
_cell_length_c 7.6140
_cell_angle_alpha 90.00
_cell_angle_beta 90.00
_cell_angle_gamma 90.00
loop_
_atom_site_label
_atom_site_type_symbol
_atom_site_fract_x
_atom_site_fract_y
_atom_site_fract_z
_atom_site_occupancy
Rb1 Rb 0.0000 0.0000 0.0000 1
Si1 Si 0.2500 0.2500 0.2500 1
Ag1 Ag 0.2500 0.2500 0.7500 1
```

Results
Polymorph energy (0 for the lowest one) (meV per atom): 491.5